Computed, not measured: an optimized crystal structure of Sc3NiB7 at the PBE level of DFT.

Output
- VASP energy (eV/atom) = -6.3275
- total magnetic moment (μB per formula unit) = 0.5

```
Sc3NiB7
1.0
1.636 -9.925 0.000
1.636 9.925 0.000
0.000 0.000 9.220
B Ni Sc
14 2 6
Cartesian
1.636 -9.110 0.000
1.636 9.110 0.000
1.636 -8.112 1.412
1.636 8.112 1.412
1.636 -8.857 2.969
1.636 8.857 2.969
1.636 -0.884 3.687
1.636 0.884 3.687
1.636 -0.884 5.533
1.636 0.884 5.533
1.636 -8.857 6.251
1.636 8.857 6.251
1.636 -8.112 7.808
1.636 8.112 7.808
1.636 -1.836 0.000
1.636 1.836 0.000
1.636 -6.180 0.000
1.636 6.180 0.000
1.636 -2.961 2.682
1.636 2.961 2.682
1.636 -2.961 6.538
1.636 2.961 6.538
```